DFT (PBE) results for a relaxed LiCd2P crystal.

The calculation puts the formation energy at 0.13 eV per atom. The total magnetization comes out at 0.00 μB per cell.

POSCAR file:
```
LiCd2P
1.0
-0.474 9.371 -1.461
-2.074 8.402 -3.907
-3.479 8.755 -1.190
Cd Li P
2 1 1
Direct
0.499 0.499 0.499
0.001 0.001 0.001
0.750 0.750 0.750
0.250 0.250 0.250
```